The following is a PBE calculation of a geometry-optimized Cr2BiAs structure, from Alexandria.

Properties
Spin magnetization in μB per formula unit: 6.00
V in Å³ per atom: 26.43
DFT formation energy in eV per atom: 0.5141

Cell lengths 5.8314, 5.8314, 7.4611 Å; angles 67.00, 67.00, 90.00 degrees
Fractional positions:
Cr (0.5762, 0.1250, 0.2500)
Cr (0.1738, 0.6250, 0.2500)
Cr (0.3750, 0.4238, 0.7500)
Cr (0.8750, 0.8262, 0.7500)
As (0.5000, 0.5000, 0.0000)
As (0.2500, 0.7500, 0.5000)
Bi (0.0000, 0.0000, 0.0000)
Bi (0.7500, 0.2500, 0.5000)

***

The following is a PBE calculation of a geometry-optimized NbBiSe structure, from Alexandria.

Properties
Polymorph energy (0 for the lowest one) in eV per formula unit: 0.08
Spin magnetization in μB per formula unit: 0.00
V in Å³ per atom: 26.72

Cell lengths 3.4023, 7.2343, 7.3595 Å; angles 113.84, 103.36, 90.00 degrees
Fractional positions:
Nb (0.2350, 0.8253, 0.4701)
Nb (0.7650, 0.1747, 0.5299)
Bi (0.8530, 0.6448, 0.7059)
Bi (0.1470, 0.3552, 0.2941)
Se (0.6017, 0.8339, 0.2034)
Se (0.3983, 0.1661, 0.7966)

***

The following is a PBE calculation of a geometry-optimized Ca3MoN structure, from Alexandria.

Properties
Polymorph energy (0 for the lowest one) in eV per formula unit: 7.18
Spin magnetization in μB per formula unit: 3.00
V in Å³ per atom: 32.12

Cell lengths 5.4355, 5.4355, 5.4355 Å; angles 90.00, 90.00, 90.00 degrees
Fractional positions:
Mo (0.0000, 0.0000, 0.0000)
Ca (0.0000, 0.5000, 0.0000)
Ca (0.0000, 0.0000, 0.5000)
Ca (0.5000, 0.0000, 0.0000)
N (0.5000, 0.5000, 0.5000)

***

The following is a PBE calculation of a geometry-optimized Ac3Sm2Dy3 structure, from Alexandria.

Properties
Spin magnetization in μB per formula unit: 0.00
V in Å³ per atom: 37.68
DFT formation energy in eV per atom: 0.1809

Cell lengths 6.7857, 10.1294, 10.1294 Å; angles 60.00, 90.00, 90.00 degrees
Fractional positions:
Ac (0.7500, 0.0000, 0.2342)
Ac (0.7500, 0.2342, 0.7658)
Ac (0.7500, 0.7658, 0.0000)
Ac (0.2500, 0.0000, 0.7658)
Ac (0.2500, 0.7658, 0.2342)
Ac (0.2500, 0.2342, 0.0000)
Sm (0.0000, 0.3333, 0.3333)
Sm (0.5000, 0.6667, 0.6667)
Sm (0.0000, 0.6667, 0.6667)
Sm (0.5000, 0.3333, 0.3333)
Dy (0.7500, 0.0000, 0.5862)
Dy (0.7500, 0.5862, 0.4138)
Dy (0.7500, 0.4138, 0.0000)
Dy (0.2500, 0.0000, 0.4138)
Dy (0.2500, 0.4138, 0.5862)
Dy (0.2500, 0.5862, 0.0000)

***

The following is a PBE calculation of a geometry-optimized SrB2AsO8 structure, from Alexandria.

Properties
Energy in eV per atom: -6.545
Spin magnetization in μB per formula unit: 3.02
V in Å³ per atom: 10.96

Cell lengths 4.6450, 4.6450, 7.0370 Å; angles 90.00, 90.00, 120.00 degrees
Fractional positions:
Sr (0.0000, 0.0000, 0.0000)
B (0.6667, 0.3333, 0.2906)
B (0.3333, 0.6667, 0.7094)
As (0.0000, 0.0000, 0.5000)
O (0.3333, 0.6667, 0.9198)
O (0.3398, 0.2853, 0.3412)
O (0.7147, 0.0545, 0.3412)
O (0.6667, 0.3333, 0.0802)
O (0.2853, 0.9455, 0.6588)
O (0.6602, 0.7147, 0.6588)
O (0.0545, 0.3398, 0.6588)
O (0.9455, 0.6602, 0.3412)

***

The following is a PBE calculation of a geometry-optimized Nd2Cd3Cu2 structure, from Alexandria.

Properties
Polymorph energy (0 for the lowest one) in eV per formula unit: 0.00
Spin magnetization in μB per formula unit: 0.00
V in Å³ per atom: 22.77
DFT formation energy in eV per atom: -0.2340

Cell lengths 4.3764, 5.5233, 7.2173 Å; angles 95.17, 90.00, 113.34 degrees
Fractional positions:
Nd (0.6295, 0.2589, 0.3425)
Nd (0.3705, 0.7411, 0.6575)
Cd (0.3191, 0.6382, 0.1428)
Cd (0.0000, 0.0000, 0.0000)
Cd (0.6809, 0.3618, 0.8572)
Cu (0.0768, 0.1536, 0.6431)
Cu (0.9232, 0.8464, 0.3569)

***

The following is a PBE calculation of a geometry-optimized K2NaSn structure, from Alexandria.

Properties
Spin magnetization in μB per formula unit: 0.00
V in Å³ per atom: 41.06
DFT formation energy in eV per atom: 0.1028

Cell lengths 5.1016, 5.1016, 13.1279 Å; angles 78.80, 78.80, 90.00 degrees
Fractional positions:
Na (0.5000, 0.5000, 0.0000)
Na (0.2500, 0.7500, 0.5000)
K (0.6325, 0.1250, 0.2500)
K (0.1175, 0.6250, 0.2500)
K (0.3750, 0.3675, 0.7500)
K (0.8750, 0.8825, 0.7500)
Sn (0.0000, 0.0000, 0.0000)
Sn (0.7500, 0.2500, 0.5000)

***

The following is a PBE calculation of a geometry-optimized SrCuAs2Pd structure, from Alexandria.

Properties
Spin magnetization in μB per formula unit: 0.00
V in Å³ per atom: 19.91
DFT formation energy in eV per atom: -0.6488

Cell lengths 4.3421, 4.3421, 6.1084 Å; angles 110.82, 110.82, 90.00 degrees
Fractional positions:
Sr (0.0000, 0.0000, 0.0000)
Cu (0.2500, 0.7500, 0.5000)
As (0.6245, 0.6245, 0.2491)
As (0.3755, 0.3755, 0.7509)
Pd (0.7500, 0.2500, 0.5000)

***

The following is a PBE calculation of a geometry-optimized ZnRe2As structure, from Alexandria.

Properties
Polymorph energy (0 for the lowest one) in eV per formula unit: 1.55
Spin magnetization in μB per formula unit: 0.00
V in Å³ per atom: 15.20
DFT formation energy in eV per atom: 0.5317

Cell lengths 5.0924, 5.0924, 2.8529 Å; angles 75.81, 75.81, 113.36 degrees
Fractional positions:
As (0.0000, 0.5000, 0.5000)
Re (0.0000, 0.0000, 0.0000)
Re (0.5000, 0.5000, 0.0000)
Zn (0.5000, 0.0000, 0.5000)

***

The following is a PBE calculation of a geometry-optimized SrNdMgZn structure, from Alexandria.

Properties
Spin magnetization in μB per formula unit: 0.00
V in Å³ per atom: 29.62
DFT formation energy in eV per atom: -0.0917

Cell lengths 5.5132, 5.5132, 5.5132 Å; angles 60.00, 60.00, 60.00 degrees
Fractional positions:
Sr (0.2500, 0.2500, 0.2500)
Zn (0.0000, 0.0000, 0.0000)
Nd (0.7500, 0.7500, 0.7500)
Mg (0.5000, 0.5000, 0.5000)

***

The following is a PBE calculation of a geometry-optimized KZrPb structure, from Alexandria.

Properties
Polymorph energy (0 for the lowest one) in eV per formula unit: 0.69
Spin magnetization in μB per formula unit: 0.65
V in Å³ per atom: 29.99
DFT formation energy in eV per atom: 0.4648

Cell lengths 5.4359, 5.4359, 3.5152 Å; angles 90.00, 90.00, 120.00 degrees
Fractional positions:
K (0.0000, 0.0000, 0.0004)
Pb (0.6667, 0.3333, 0.5004)
Zr (0.3333, 0.6667, 0.4993)

***

The following is a PBE calculation of a geometry-optimized CeIn2 structure, from Alexandria.

Properties
Spin magnetization in μB per formula unit: 1.37
V in Å³ per atom: 27.14
DFT formation energy in eV per atom: -0.2482

Cell lengths 3.3893, 4.6997, 10.2225 Å; angles 90.00, 90.00, 90.00 degrees
Fractional positions:
Ce (0.0000, 0.0000, 0.6724)
Ce (0.0000, 0.0000, 0.3276)
In (0.5000, 0.5000, 0.5000)
In (0.5000, 0.5000, 0.1604)
In (0.0000, 0.0000, 0.0000)
In (0.5000, 0.5000, 0.8396)

***

Copy entry 7 word for word.
The following is a PBE calculation of a geometry-optimized K2NaSn structure, from Alexandria.

Properties
Spin magnetization in μB per formula unit: 0.00
V in Å³ per atom: 41.06
DFT formation energy in eV per atom: 0.1028

Cell lengths 5.1016, 5.1016, 13.1279 Å; angles 78.80, 78.80, 90.00 degrees
Fractional positions:
Na (0.5000, 0.5000, 0.0000)
Na (0.2500, 0.7500, 0.5000)
K (0.6325, 0.1250, 0.2500)
K (0.1175, 0.6250, 0.2500)
K (0.3750, 0.3675, 0.7500)
K (0.8750, 0.8825, 0.7500)
Sn (0.0000, 0.0000, 0.0000)
Sn (0.7500, 0.2500, 0.5000)

***

spin magnetization of number 1 (Cr2BiAs)?
6.00 μB per formula unit